# 1
DFT (PBE-GGA) results for an optimized crystal structure of BaCa2HgSe4.

Values from the calculation:
* space group: Cmcm
* ρ: 5.16 g/cm3
* magnetic moment: 0.0 μB/f.u.
* E_form (uncorrected): -1.51 eV/atom

Cell and atoms, written as CIF:
```
data_BaCa2HgSe4
_chemical_formula_sum 'Ba2 Ca4 Hg2 Se8'
_cell_length_a 4.331
_cell_length_b 7.607
_cell_length_c 14.940
_cell_angle_alpha 90.00
_cell_angle_beta 90.00
_cell_angle_gamma 106.54
_space_group_name_H-M_alt 'P 1'
_space_group_IT_number 1
_space_group_name_Hall 'P 1'
loop_
_atom_site_label
_atom_site_type_symbol
_atom_site_fract_x
_atom_site_fract_y
_atom_site_fract_z
Ba1 Ba 0.129 0.257 0.750
Ba2 Ba 0.871 0.743 0.250
Ca1 Ca 0.375 0.751 0.554
Ca2 Ca 0.625 0.249 0.054
Ca3 Ca 0.625 0.249 0.446
Ca4 Ca 0.375 0.751 0.946
Hg1 Hg 0.851 0.703 0.750
Hg2 Hg 0.149 0.297 0.250
Se1 Se 0.264 0.528 0.112
Se2 Se 0.736 0.472 0.612
Se3 Se 0.736 0.472 0.888
Se4 Se 0.264 0.528 0.388
Se5 Se 0.000 0.000 0.500
Se6 Se 0.000 0.000 0.000
Se7 Se 0.459 0.918 0.750
Se8 Se 0.541 0.082 0.250
```



# 2
DFT (PBE-GGA) results for an optimized crystal structure of LiYNO2.

Values from the calculation:
* space group: P4/mmm
* ρ: 4.53 g/cm3
* magnetic moment: 3.0 μB/f.u.
* E_form (uncorrected): -0.97 eV/atom

Cell and atoms, written as CIF:
```
data_LiYNO2
_chemical_formula_sum 'Li1 Y1 N1 O2'
_cell_length_a 3.770
_cell_length_b 3.770
_cell_length_c 3.655
_cell_angle_alpha 90.00
_cell_angle_beta 90.00
_cell_angle_gamma 90.00
_space_group_name_H-M_alt 'P 1'
_space_group_IT_number 1
_space_group_name_Hall 'P 1'
loop_
_atom_site_label
_atom_site_type_symbol
_atom_site_fract_x
_atom_site_fract_y
_atom_site_fract_z
Y1 Y 0.500 0.500 0.500
Li1 Li 0.000 0.000 0.000
O1 O 0.000 0.500 0.000
O2 O 0.500 0.000 0.000
N1 N 0.000 0.000 0.500
```



# 3
DFT (PBE-GGA) results for an optimized crystal structure of ThI.

Values from the calculation:
* space group: P4/nmm
* ρ: 7.75 g/cm3
* magnetic moment: 0.0 μB/f.u.
* E_form (uncorrected): -0.55 eV/atom

Cell and atoms, written as CIF:
```
data_ThI
_chemical_formula_sum 'Th2 I2'
_cell_length_a 3.759
_cell_length_b 3.759
_cell_length_c 11.514
_cell_angle_alpha 70.98
_cell_angle_beta 90.00
_cell_angle_gamma 90.00
_space_group_name_H-M_alt 'P 1'
_space_group_IT_number 1
_space_group_name_Hall 'P 1'
loop_
_atom_site_label
_atom_site_type_symbol
_atom_site_fract_x
_atom_site_fract_y
_atom_site_fract_z
I1 I 0.250 0.934 0.816
I2 I 0.750 0.066 0.184
Th1 Th 0.250 0.376 0.374
Th2 Th 0.750 0.624 0.626
```